Entry from the Alexandria database: a relaxed structure of ScVO2 (GGA+U). Values from VASP.

```
&SYSTEM
  ibrav = 0, nat = 8, ntyp = 3
/
ATOMIC_SPECIES
O 16.00 O.upf
Sc 44.96 Sc.upf
V 50.94 V.upf
CELL_PARAMETERS angstrom
-4.069 -1.415 2.184
2.603 -2.254 3.388
-0.707 2.223 5.465
ATOMIC_POSITIONS crystal
O 0.606 0.125 0.250
O 0.375 0.394 0.750
O 0.144 0.625 0.250
O 0.875 0.856 0.750
Sc 0.250 0.750 0.500
Sc 0.500 0.500 0.000
V 0.000 0.000 0.000
V 0.750 0.250 0.500
```

Properties
The density of states at the Fermi level is 2.4 states/eV per cell. The calculation puts the energy above the lowest structure with this stoichiometry at 0.56 eV per formula unit.